Below is crystalline Tl4BiAu3 at its relaxed geometry, with properties calculated at the PBE-GGA level.

The formation energy is -19 meV per atom. The value obtained for the final energy is -2.916 eV per atom.

The structure belongs to space group Cc (No. 9); the cell edges are 12.814, 6.980 and 11.118 Å and the angles 90.00°, 116.52° and 90.00°. The asymmetric unit holds Tl at (0.000, 0.086, 0.000), Tl at (0.081, 0.237, 0.315), Tl at (0.224, 0.302, 0.949), Tl at (0.302, 0.131, 0.679), Bi at (0.039, 0.405, 0.568), Au at (0.265, 0.437, 0.249), Au at (0.318, 0.096, 0.416) and Au at (0.463, 0.344, 0.215).